No. 1
Crystalline TlGeF4 at its relaxed geometry, computed with PBE-GGA.

a = 5.758 Å, b = 6.320 Å, c = 6.256 Å
α = 90.00°, β = 93.77°, γ = 90.00°
Sites, in units of the cell vectors:
Tl1 0.000 0.190 0.250
Tl2 0.000 0.810 0.750
Ge1 0.500 0.354 0.750
Ge2 0.500 0.646 0.250
F1 0.298 0.156 0.628
F2 0.298 0.844 0.128
F3 0.310 0.402 0.998
F4 0.310 0.598 0.498
F5 0.690 0.402 0.502
F6 0.690 0.598 0.002
F7 0.702 0.156 0.872
F8 0.702 0.844 0.372

The calculation puts the mass density at 5161 kg/m³. The value obtained for the energy relative to the lowest polymorph listed for this composition is 0.0000 eV per atom. The calculation puts the total energy at -4.444 eV per atom. The uncorrected formation energy comes out at -12.20 eV/f.u.

No. 2
Crystalline KCd2Sb at its relaxed geometry, computed with PBE-GGA.

a = 3.477 Å, b = 4.309 Å, c = 7.996 Å
α = 90.00°, β = 90.00°, γ = 90.00°
Sites, in units of the cell vectors:
K1 0.000 0.000 0.000
Cd1 0.000 0.000 0.492
Cd2 0.500 0.500 0.691
Sb1 0.500 0.500 0.301

The calculation puts the mass density at 5345 kg/m³. The calculation puts the total energy at -1.839 eV per atom. The uncorrected formation energy comes out at -0.31 eV/f.u.

No. 3
Crystalline TbCu2Se2 at its relaxed geometry, computed with PBE-GGA.

a = 6.721 Å, b = 6.721 Å, c = 6.165 Å
α = 116.76°, β = 116.76°, γ = 99.73°
Sites, in units of the cell vectors:
Tb1 0.116 0.884 0.750
Tb2 0.884 0.116 0.250
Cu1 0.236 0.439 0.227
Cu2 0.439 0.236 0.727
Cu3 0.561 0.764 0.273
Cu4 0.764 0.561 0.773
Se1 0.172 0.828 0.250
Se2 0.395 0.605 0.750
Se3 0.605 0.395 0.250
Se4 0.828 0.172 0.750

The calculation puts the mass density at 7507 kg/m³. The calculation puts the total energy at -4.577 eV per atom. The uncorrected formation energy comes out at -3.09 eV/f.u.

No. 4
Crystalline HgSb4Pb15 at its relaxed geometry, computed with PBE-GGA.

a = 5.562 Å, b = 5.562 Å, c = 19.875 Å
α = 90.00°, β = 90.00°, γ = 90.00°
Sites, in units of the cell vectors:
Hg1 0.000 0.000 0.000
Sb1 0.000 0.000 0.187
Sb2 0.000 0.000 0.395
Sb3 0.000 0.000 0.605
Sb4 0.000 0.000 0.813
Pb1 0.000 0.500 0.101
Pb2 0.000 0.500 0.302
Pb3 0.000 0.500 0.500
Pb4 0.000 0.500 0.698
Pb5 0.000 0.500 0.899
Pb6 0.500 0.000 0.101
Pb7 0.500 0.000 0.302
Pb8 0.500 0.000 0.500
Pb9 0.500 0.000 0.698
Pb10 0.500 0.000 0.899
Pb11 0.500 0.500 0.000
Pb12 0.500 0.500 0.209
Pb13 0.500 0.500 0.405
Pb14 0.500 0.500 0.595
Pb15 0.500 0.500 0.791

The calculation puts the mass density at 10252 kg/m³. The calculation puts the total energy at -3.577 eV per atom. The uncorrected formation energy comes out at 0.87 eV/f.u.

no.,DOS(E_F) (states/eV/cell)
1,2.928
2,1.740
3,4.130
4,7.571